Pr2VSnO6 | Alexandria | GGA+U | optimized geometry; E = -75.1 eV per formula unit; space group = P2_1/c; magnetic moment = 0.100 μB/atom
1.0
5.654 0.000 -0.050
0.000 6.110 0.000
-0.028 0.000 8.228
Pr V Sn O
4 2 2 12
Direct
0.021 0.938 0.242 Pr
0.521 0.562 0.742 Pr
0.979 0.062 0.758 Pr
0.479 0.438 0.258 Pr
0.500 0.000 0.000 V
0.000 0.500 0.500 V
0.500 0.000 0.500 Sn
0.000 0.500 0.000 Sn
0.334 0.725 0.084 O
0.834 0.775 0.584 O
0.666 0.275 0.916 O
0.166 0.225 0.416 O
0.292 0.668 0.454 O
0.792 0.832 0.954 O
0.708 0.332 0.546 O
0.208 0.168 0.046 O
0.874 0.565 0.282 O
0.374 0.935 0.782 O
0.126 0.435 0.718 O
0.626 0.065 0.218 O